Entry from the Alexandria database: a geometry-optimized Na2Li2Cd15 structure (PBE).

Calculated values
energy = -1.131 eV/atom
mass density = 6.4 g/cm3

```
data_Na2Li2Cd15
_chemical_formula_sum 'Na6 Li6 Cd45'
_cell_length_a 10.1624
_cell_length_b 10.1624
_cell_length_c 15.1528
_cell_angle_alpha 90.00
_cell_angle_beta 90.00
_cell_angle_gamma 120.00
_symmetry_space_group_name_H-M 'R -3 m'
_symmetry_Int_Tables_number 166
_symmetry_space_group_name_Hall '-R 3 2"'
loop_
_atom_site_label
_atom_site_type_symbol
_atom_site_fract_x
_atom_site_fract_y
_atom_site_fract_z
Na1 Na 0.0000 0.0000 0.1595
Li1 Li 0.0000 0.0000 0.4010
Cd1 Cd 0.0000 0.2944 0.5000
Cd2 Cd 0.0000 0.5000 0.0000
Cd3 Cd 0.0063 0.5032 0.6455
```


Entry from the Alexandria database: a geometry-optimized NaLiCd4 structure (PBE).

Calculated values
energy above the most stable polymorph in this dataset = 0 meV/atom
mass density = 6.1 g/cm3

```
data_NaLiCd4
_chemical_formula_sum 'Na2 Li2 Cd8'
_cell_length_a 10.171
_cell_length_b 3.143
_cell_length_c 9.149
_cell_angle_alpha 90.00
_cell_angle_beta 116.08
_cell_angle_gamma 90.00
_symmetry_space_group_name_H-M 'C 1 2/m 1'
_symmetry_Int_Tables_number 12
loop_
_symmetry_equiv_pos_as_xyz
'x,y,z'
'-x,-y,-z'
'-x,y,-z'
'x,-y,z'
'x+1/2,y+1/2,z'
'-x+1/2,-y+1/2,-z'
'-x+1/2,y+1/2,-z'
'x+1/2,-y+1/2,z'
loop_
_atom_site_label
_atom_site_type_symbol
_atom_site_fract_x
_atom_site_fract_y
_atom_site_fract_z
Na1 Na 0.000 0.000 0.000
Li1 Li 0.000 0.000 0.500
Cd1 Cd 0.165 0.500 0.344
Cd2 Cd 0.166 0.500 0.820
```


Entry from the Alexandria database: a geometry-optimized NaLiCd2 structure (PBE).

Calculated values
energy above the most stable polymorph in this dataset = 0 meV/atom
mass density = 4.7 g/cm3

```
data_NaLiCd2
_chemical_formula_sum 'Na1 Li1 Cd2'
_cell_length_a 3.475
_cell_length_b 3.475
_cell_length_c 7.430
_cell_angle_alpha 90.00
_cell_angle_beta 90.00
_cell_angle_gamma 90.00
_symmetry_space_group_name_H-M 'P 4/m m m'
_symmetry_Int_Tables_number 123
_symmetry_space_group_name_Hall '-P 4 2'
loop_
_atom_site_label
_atom_site_type_symbol
_atom_site_fract_x
_atom_site_fract_y
_atom_site_fract_z
Na1 Na 0.000 0.000 0.000
Li1 Li 0.000 0.000 0.500
Cd1 Cd 0.500 0.500 0.294
```


Entry from the Alexandria database: a geometry-optimized NaLi7Cd4 structure (PBE).

Calculated values
energy = -1.628 eV/atom
mass density = 3.5 g/cm3

```
data_NaLi7Cd4
_chemical_formula_sum 'Na2 Li14 Cd8'
_cell_length_a 13.617
_cell_length_b 4.994
_cell_length_c 8.422
_cell_angle_alpha 90.00
_cell_angle_beta 120.69
_cell_angle_gamma 90.00
_symmetry_space_group_name_H-M 'C 1 2/m 1'
_symmetry_Int_Tables_number 12
loop_
_symmetry_equiv_pos_as_xyz
'x,y,z'
'-x,-y,-z'
'-x,y,-z'
'x,-y,z'
'x+1/2,y+1/2,z'
'-x+1/2,-y+1/2,-z'
'-x+1/2,y+1/2,-z'
'x+1/2,-y+1/2,z'
loop_
_atom_site_label
_atom_site_type_symbol
_atom_site_fract_x
_atom_site_fract_y
_atom_site_fract_z
Na1 Na 0.000 0.000 0.000
Li1 Li 0.000 0.500 0.000
Li2 Li 0.083 0.000 0.443
Li3 Li 0.216 0.000 0.883
Li4 Li 0.245 0.000 0.280
Cd1 Cd 0.058 0.500 0.716
Cd2 Cd 0.179 0.500 0.353
```


Entry from the Alexandria database: a geometry-optimized NaLiCd2 structure (PBE).

Calculated values
energy above the most stable polymorph in this dataset = 50 meV/atom
mass density = 4.7 g/cm3

```
data_NaLiCd2
_chemical_formula_sum 'Na4 Li4 Cd8'
_cell_length_a 7.108
_cell_length_b 7.108
_cell_length_c 7.108
_cell_angle_alpha 90.00
_cell_angle_beta 90.00
_cell_angle_gamma 90.00
_symmetry_space_group_name_H-M 'F m -3 m'
_symmetry_Int_Tables_number 225
_symmetry_space_group_name_Hall '-F 4 2 3'
loop_
_atom_site_label
_atom_site_type_symbol
_atom_site_fract_x
_atom_site_fract_y
_atom_site_fract_z
Na1 Na 0.000 0.000 0.000
Li1 Li 0.000 0.000 0.500
Cd1 Cd 0.250 0.250 0.250
```


Entry from the Alexandria database: a geometry-optimized NaLiCd6 structure (PBE).

Calculated values
energy above the most stable polymorph in this dataset = 0 meV/atom
mass density = 6.7 g/cm3

```
data_NaLiCd6
_chemical_formula_sum 'Na2 Li2 Cd12'
_cell_length_a 4.944
_cell_length_b 6.370
_cell_length_c 11.032
_cell_angle_alpha 90.00
_cell_angle_beta 90.00
_cell_angle_gamma 90.00
_symmetry_space_group_name_H-M 'A m m 2'
_symmetry_Int_Tables_number 38
loop_
_symmetry_equiv_pos_as_xyz
'x,y,z'
'-x,-y,z'
'-x,y,z'
'x,-y,z'
'x,y+1/2,z+1/2'
'-x,-y+1/2,z+1/2'
'-x,y+1/2,z+1/2'
'x,-y+1/2,z+1/2'
loop_
_atom_site_label
_atom_site_type_symbol
_atom_site_fract_x
_atom_site_fract_y
_atom_site_fract_z
Na1 Na 0.000 0.000 0.000
Li1 Li 0.500 0.000 0.667
Cd1 Cd 0.000 0.000 0.504
Cd2 Cd 0.000 0.244 0.748
Cd3 Cd 0.500 0.000 0.169
Cd4 Cd 0.500 0.247 0.416
```